Record 1
An optimized crystal structure of BaIrSeBr2, computed with GGA-PBEsol.

Cell lengths 5.1721, 5.1721, 4.8748 Å; angles 90.00, 90.00, 90.00 degrees
Space group P4/mmm (No. 123)
Unique sites:
Ba (0.0000, 0.0000, 0.0000) [1 per cell]
Ir (0.5000, 0.5000, 0.5000) [1 per cell]
Se (0.5000, 0.5000, 0.0000) [1 per cell]
Br (0.0000, 0.5000, 0.5000) [2 per cell]

Summary:
Energy relative to the lowest polymorph listed for this composition in meV/atom: 0.0
V in Å³ per atom: 26.08
Formation energy without anion corrections in kJ/mol of atoms: -74.6



Record 2
An optimized crystal structure of NbO2F, computed with GGA-PBEsol.

Cell lengths 5.5091, 5.6120, 13.7199 Å; angles 87.03, 88.93, 61.46 degrees
Space group P-1 (No. 2)
Unique sites:
Nb (0.0277, 0.4847, 0.2491) [2 per cell]
Nb (0.3221, 0.8384, 0.5836) [2 per cell]
Nb (0.3752, 0.7941, 0.0830) [2 per cell]
O (0.0000, 0.0000, 0.5000) [1 per cell]
O (0.1371, 0.7015, 0.1693) [2 per cell]
O (0.1759, 0.6484, 0.6633) [2 per cell]
O (0.3335, 0.3436, 0.8308) [2 per cell]
O (0.3420, 0.3220, 0.3301) [2 per cell]
O (0.5000, 0.0000, 0.0000) [1 per cell]
O (0.5000, 0.0000, 0.5000) [1 per cell]
O (0.5000, 0.5000, 0.0000) [1 per cell]
F (0.0000, 0.0000, 0.0000) [1 per cell]
F (0.1557, 0.1702, 0.6644) [2 per cell]
F (0.1712, 0.1737, 0.1631) [2 per cell]
F (0.5000, 0.5000, 0.5000) [1 per cell]

Summary:
V in Å³ per atom: 15.51
Formation energy without anion corrections in kJ/mol of atoms: -254.3